A plane-wave DFT calculation with PBEsol was carried out for a geometry-optimized SrHf2Te2 structure.

Structure (extended XYZ):
```
5
Lattice="-2.0573 2.0573 7.8853 2.0573 -2.0573 7.8853 2.0573 2.0573 -7.8853" Properties=species:S:1:pos:R:3 pbc="T T T"
Sr 0.0000 0.0000 0.0000
Hf 2.0573 0.0000 3.9426
Hf 0.0000 2.0573 3.9426
Te 0.0000 0.0000 6.0696
Te 0.0000 0.0000 9.7009
```

## Properties
Total moment (Bohr magnetons per cell): 0.00
DFT total energy (eV per cell): -33.48
N(E_F) (states/eV per cell): 2.7
ΔE_f (raw) (eV per atom): -0.72